# Sc2CuSbC | Alexandria via LeMat-Bulk | PBE | optimized geometry
data_Sc2CuSbC
_cell_length_a 4.5989
_cell_length_b 4.5989
_cell_length_c 3.9965
_cell_angle_alpha 90.00
_cell_angle_beta 90.00
_cell_angle_gamma 90.00
_symmetry_space_group_name_H-M 'P 4/m m m'
_symmetry_Int_Tables_number 123
_symmetry_space_group_name_Hall '-P 4 2'
loop_
_atom_site_label
_atom_site_fract_x
_atom_site_fract_y
_atom_site_fract_z
Sc1 0.0000 0.5000 0.0000
Cu1 0.0000 0.0000 0.5000
Sb1 0.5000 0.5000 0.5000
C1 0.0000 0.0000 0.0000
# Crystal system = tetragonal
# Total DFT energy (no corrections) = -6.521 eV per atom

=====

# La2FeSiHg | Alexandria via LeMat-Bulk | PBE | optimized geometry
data_La2FeSiHg
_cell_length_a 5.3370
_cell_length_b 5.3370
_cell_length_c 4.4346
_cell_angle_alpha 90.00
_cell_angle_beta 90.00
_cell_angle_gamma 90.00
_symmetry_space_group_name_H-M 'P 4/m m m'
_symmetry_Int_Tables_number 123
_symmetry_space_group_name_Hall '-P 4 2'
loop_
_atom_site_label
_atom_site_fract_x
_atom_site_fract_y
_atom_site_fract_z
La1 0.0000 0.5000 0.0000
Fe1 0.0000 0.0000 0.0000
Si1 0.0000 0.0000 0.5000
Hg1 0.5000 0.5000 0.5000
# Crystal system = tetragonal
# Total DFT energy (no corrections) = -5.163 eV per atom

=====

# PmNiP2 | Alexandria via LeMat-Bulk | PBE | optimized geometry
data_PmNiP2
_cell_length_a 5.3712
_cell_length_b 19.4205
_cell_length_c 5.3981
_cell_angle_alpha 90.00
_cell_angle_beta 90.00
_cell_angle_gamma 90.00
_symmetry_space_group_name_H-M 'F m m 2'
_symmetry_Int_Tables_number 42
_symmetry_space_group_name_Hall 'F 2 -2'
loop_
_atom_site_label
_atom_site_fract_x
_atom_site_fract_y
_atom_site_fract_z
Pm1 0.0000 0.1184 0.0000
Ni1 0.2500 0.2500 0.2508
P1 0.0000 0.1861 0.5003
P2 0.2102 0.0000 0.2839
# Distance to the lowest polymorph of the same formula = 20 kJ/mol of formula units
# Crystal system = orthorhombic
# Calculated formation energy = -960.0 meV per atom

=====

# CsCd | Alexandria via LeMat-Bulk | PBE | optimized geometry
data_CsCd
_cell_length_a 6.7515
_cell_length_b 6.7515
_cell_length_c 7.8629
_cell_angle_alpha 90.00
_cell_angle_beta 90.00
_cell_angle_gamma 120.00
_symmetry_space_group_name_H-M 'P 63/m m c'
_symmetry_Int_Tables_number 194
_symmetry_space_group_name_Hall '-P 6c 2c'
loop_
_atom_site_label
_atom_site_fract_x
_atom_site_fract_y
_atom_site_fract_z
Cs1 0.3333 0.6667 0.2500
Cd1 0.3333 0.6667 0.7500
# Crystal system = hexagonal
# Calculated formation energy = 190.9 meV per atom

=====

# CaNbOs4 | Alexandria via LeMat-Bulk | PBE | optimized geometry
data_CaNbOs4
_cell_length_a 7.4203
_cell_length_b 7.4203
_cell_length_c 7.4203
_cell_angle_alpha 90.00
_cell_angle_beta 90.00
_cell_angle_gamma 90.00
_symmetry_space_group_name_H-M 'F -4 3 m'
_symmetry_Int_Tables_number 216
_symmetry_space_group_name_Hall 'F -4 2 3'
loop_
_atom_site_label
_atom_site_fract_x
_atom_site_fract_y
_atom_site_fract_z
Ca1 0.0000 0.0000 0.0000
Nb1 0.2500 0.2500 0.2500
Os1 0.1250 0.1250 0.6250
# Crystal system = cubic
# Calculated formation energy = 127.8 meV per atom

=====

# Ho3HfAl8 | Alexandria via LeMat-Bulk | PBE | optimized geometry
data_Ho3HfAl8
_cell_length_a 5.4465
_cell_length_b 5.4465
_cell_length_c 9.0453
_cell_angle_alpha 90.00
_cell_angle_beta 90.00
_cell_angle_gamma 120.00
_symmetry_space_group_name_H-M 'P 3 m 1'
_symmetry_Int_Tables_number 156
loop_
_symmetry_equiv_pos_as_xyz
'x,y,z'
'-y,x-y,z'
'-x+y,-x,z'
'-y,-x,z'
'-x+y,y,z'
'x,x-y,z'
loop_
_atom_site_label
_atom_site_fract_x
_atom_site_fract_y
_atom_site_fract_z
Ho1 0.0000 0.0000 0.0000
Ho2 0.0000 0.0000 0.3672
Ho3 0.3333 0.6667 0.8620
Hf1 0.3333 0.6667 0.4993
Al1 0.0088 0.5044 0.1872
Al2 0.3258 0.1629 0.6753
Al3 0.6667 0.3333 0.4321
Al4 0.6667 0.3333 0.9300
# Distance to the lowest polymorph of the same formula = 15 kJ/mol of formula units
# Crystal system = trigonal
# Calculated formation energy = -468.2 meV per atom

=====

# Ga3BC | Alexandria via LeMat-Bulk | PBE | optimized geometry
data_Ga3BC
_cell_length_a 4.1744
_cell_length_b 4.1744
_cell_length_c 4.1744
_cell_angle_alpha 90.00
_cell_angle_beta 90.00
_cell_angle_gamma 90.00
_symmetry_space_group_name_H-M 'P m -3 m'
_symmetry_Int_Tables_number 221
_symmetry_space_group_name_Hall '-P 4 2 3'
loop_
_atom_site_label
_atom_site_fract_x
_atom_site_fract_y
_atom_site_fract_z
Ga1 0.0000 0.0000 0.5000
B1 0.5000 0.5000 0.5000
C1 0.0000 0.0000 0.0000
# Distance to the lowest polymorph of the same formula = 0 kJ/mol of formula units
# Crystal system = cubic
# Calculated formation energy = 1292.1 meV per atom

=====

# MgHIr5 | Alexandria via LeMat-Bulk | PBE | optimized geometry
data_MgHIr5
_cell_length_a 4.8122
_cell_length_b 4.8160
_cell_length_c 4.8705
_cell_angle_alpha 60.39
_cell_angle_beta 79.93
_cell_angle_gamma 69.43
_symmetry_space_group_name_H-M 'P 1'
_symmetry_Int_Tables_number 1
loop_
_symmetry_equiv_pos_as_xyz
'x,y,z'
loop_
_atom_site_label
_atom_site_fract_x
_atom_site_fract_y
_atom_site_fract_z
Mg1 0.0000 0.0000 0.0000
H1 0.8699 0.4429 0.0002
Ir1 0.0103 0.3265 0.3686
Ir2 0.0102 0.6952 0.6314
Ir3 0.4836 0.5098 0.9995
Ir4 0.5021 0.1707 0.6668
Ir5 0.5020 0.8382 0.3329
# Distance to the lowest polymorph of the same formula = 16 kJ/mol of formula units
# Crystal system = triclinic

=====

# CrTcH2 | Alexandria via LeMat-Bulk | PBE | optimized geometry
data_CrTcH2
_cell_length_a 2.7995
_cell_length_b 4.4174
_cell_length_c 4.8139
_cell_angle_alpha 90.00
_cell_angle_beta 90.00
_cell_angle_gamma 90.00
_symmetry_space_group_name_H-M 'P m m n'
_symmetry_Int_Tables_number 59
loop_
_symmetry_equiv_pos_as_xyz
'x,y,z'
'-x,-y,-z'
'-x+1/2,-y+1/2,z'
'x+1/2,y+1/2,-z'
'x+1/2,-y,-z'
'-x+1/2,y,z'
'-x,y+1/2,-z'
'x,-y+1/2,z'
loop_
_atom_site_label
_atom_site_fract_x
_atom_site_fract_y
_atom_site_fract_z
Cr1 0.2500 0.2500 0.0817
Tc1 0.2500 0.7500 0.4132
H1 0.2500 0.5097 0.7791
# Distance to the lowest polymorph of the same formula = 0 kJ/mol of formula units
# Crystal system = orthorhombic

=====

# La2MnPbC | Alexandria via LeMat-Bulk | PBE | optimized geometry
data_La2MnPbC
_cell_length_a 5.5182
_cell_length_b 5.5182
_cell_length_c 3.9173
_cell_angle_alpha 90.00
_cell_angle_beta 90.00
_cell_angle_gamma 90.00
_symmetry_space_group_name_H-M 'P 4/m m m'
_symmetry_Int_Tables_number 123
_symmetry_space_group_name_Hall '-P 4 2'
loop_
_atom_site_label
_atom_site_fract_x
_atom_site_fract_y
_atom_site_fract_z
La1 0.0000 0.5000 0.0000
Mn1 0.0000 0.0000 0.5000
Pb1 0.5000 0.5000 0.5000
C1 0.0000 0.0000 0.0000
# Crystal system = tetragonal
# Calculated formation energy = -219.3 meV per atom

=====

# Nd23Cd4Ir7 | Alexandria via LeMat-Bulk | PBE | optimized geometry
data_Nd23Cd4Ir7
_cell_length_a 10.0371
_cell_length_b 10.0371
_cell_length_c 22.6136
_cell_angle_alpha 90.00
_cell_angle_beta 90.00
_cell_angle_gamma 120.00
_symmetry_space_group_name_H-M 'P 63 m c'
_symmetry_Int_Tables_number 186
_symmetry_space_group_name_Hall 'P 6c -2c'
loop_
_atom_site_label
_atom_site_fract_x
_atom_site_fract_y
_atom_site_fract_z
Nd1 0.0000 0.0000 0.0498
Nd2 0.0791 0.5395 0.1394
Nd3 0.0803 0.5401 0.4087
Nd4 0.1275 0.2549 0.6893
Nd5 0.2020 0.4040 0.8359
Nd6 0.2065 0.4129 0.2735
Nd7 0.2072 0.4144 0.0000
Nd8 0.2076 0.4153 0.5432
Nd9 0.3333 0.6667 0.6989
Cd1 0.0000 0.0000 0.3024
Cd2 0.1070 0.2141 0.4163
Ir1 0.0417 0.5208 0.7640
Ir2 0.1433 0.2867 0.1163
Ir3 0.3333 0.6667 0.9167
# Crystal system = hexagonal
# Calculated formation energy = -466.8 meV per atom

=====

# CaRh2 | Alexandria via LeMat-Bulk | PBE | optimized geometry
data_CaRh2
_cell_length_a 2.9888
_cell_length_b 2.9888
_cell_length_c 6.8472
_cell_angle_alpha 90.00
_cell_angle_beta 90.00
_cell_angle_gamma 120.00
_symmetry_space_group_name_H-M 'P -3 m 1'
_symmetry_Int_Tables_number 164
_symmetry_space_group_name_Hall '-P 3 2"'
loop_
_atom_site_label
_atom_site_fract_x
_atom_site_fract_y
_atom_site_fract_z
Ca1 0.0000 0.0000 0.0000
Rh1 0.3333 0.6667 0.3479
# Crystal system = trigonal
# Calculated formation energy = 288.2 meV per atom

=====

# Sr3EuPt | Alexandria via LeMat-Bulk | PBE | optimized geometry
data_Sr3EuPt
_cell_length_a 6.0253
_cell_length_b 6.0253
_cell_length_c 6.0253
_cell_angle_alpha 90.00
_cell_angle_beta 90.00
_cell_angle_gamma 90.00
_symmetry_space_group_name_H-M 'P m -3 m'
_symmetry_Int_Tables_number 221
_symmetry_space_group_name_Hall '-P 4 2 3'
loop_
_atom_site_label
_atom_site_fract_x
_atom_site_fract_y
_atom_site_fract_z
Sr1 0.0000 0.0000 0.5000
Eu1 0.5000 0.5000 0.5000
Pt1 0.0000 0.0000 0.0000
# Crystal system = cubic
# Calculated formation energy = -387.3 meV per atom

=====

# SiS2Cl | Alexandria via LeMat-Bulk | PBE | optimized geometry
data_SiS2Cl
_cell_length_a 6.3818
_cell_length_b 6.3818
_cell_length_c 6.3818
_cell_angle_alpha 90.00
_cell_angle_beta 90.00
_cell_angle_gamma 90.00
_symmetry_space_group_name_H-M 'F m -3 m'
_symmetry_Int_Tables_number 225
_symmetry_space_group_name_Hall '-F 4 2 3'
loop_
_atom_site_label
_atom_site_fract_x
_atom_site_fract_y
_atom_site_fract_z
Si1 0.0000 0.0000 0.0000
S1 0.2500 0.2500 0.2500
Cl1 0.0000 0.0000 0.5000
# Distance to the lowest polymorph of the same formula = 333 kJ/mol of formula units
# Crystal system = cubic

=====

# HoLuCuTc | Alexandria via LeMat-Bulk | PBE | optimized geometry
data_HoLuCuTc
_cell_length_a 6.7955
_cell_length_b 6.7955
_cell_length_c 6.7955
_cell_angle_alpha 90.00
_cell_angle_beta 90.00
_cell_angle_gamma 90.00
_symmetry_space_group_name_H-M 'F -4 3 m'
_symmetry_Int_Tables_number 216
_symmetry_space_group_name_Hall 'F -4 2 3'
loop_
_atom_site_label
_atom_site_fract_x
_atom_site_fract_y
_atom_site_fract_z
Ho1 0.0000 0.0000 0.0000
Lu1 0.0000 0.0000 0.5000
Cu1 0.2500 0.2500 0.2500
Tc1 0.2500 0.2500 0.7500
# Crystal system = cubic
# Calculated formation energy = -151.2 meV per atom

=====

# NaCePb6 | Alexandria via LeMat-Bulk | PBE | optimized geometry
data_NaCePb6
_cell_length_a 4.8834
_cell_length_b 4.8834
_cell_length_c 10.0152
_cell_angle_alpha 90.00
_cell_angle_beta 90.00
_cell_angle_gamma 90.00
_symmetry_space_group_name_H-M 'P 4/m m m'
_symmetry_Int_Tables_number 123
_symmetry_space_group_name_Hall '-P 4 2'
loop_
_atom_site_label
_atom_site_fract_x
_atom_site_fract_y
_atom_site_fract_z
Na1 0.0000 0.0000 0.0000
Ce1 0.0000 0.0000 0.5000
Pb1 0.0000 0.5000 0.2466
Pb2 0.5000 0.5000 0.0000
Pb3 0.5000 0.5000 0.5000
# Crystal system = tetragonal
# Calculated formation energy = -210.3 meV per atom

=====

# CaPt2Se | Alexandria via LeMat-Bulk | PBE | optimized geometry
data_CaPt2Se
_cell_length_a 4.0502
_cell_length_b 4.0502
_cell_length_c 4.5217
_cell_angle_alpha 90.00
_cell_angle_beta 90.00
_cell_angle_gamma 90.00
_symmetry_space_group_name_H-M 'P 4/m m m'
_symmetry_Int_Tables_number 123
_symmetry_space_group_name_Hall '-P 4 2'
loop_
_atom_site_label
_atom_site_fract_x
_atom_site_fract_y
_atom_site_fract_z
Ca1 0.0000 0.0000 0.0000
Pt1 0.0000 0.5000 0.5000
Se1 0.5000 0.5000 0.0000
# Crystal system = tetragonal
# Total DFT energy (no corrections) = -4.924 eV per atom

=====

# ZnCuIN2 | Alexandria via LeMat-Bulk | PBE | optimized geometry
data_ZnCuIN2
_cell_length_a 3.8361
_cell_length_b 3.8361
_cell_length_c 6.2643
_cell_angle_alpha 90.00
_cell_angle_beta 90.00
_cell_angle_gamma 90.00
_symmetry_space_group_name_H-M 'P 4/m m m'
_symmetry_Int_Tables_number 123
_symmetry_space_group_name_Hall '-P 4 2'
loop_
_atom_site_label
_atom_site_fract_x
_atom_site_fract_y
_atom_site_fract_z
Zn1 0.0000 0.0000 0.0000
Cu1 0.0000 0.0000 0.5000
I1 0.5000 0.5000 0.0000
N1 0.0000 0.5000 0.5000
# Distance to the lowest polymorph of the same formula = 0 kJ/mol of formula units
# Crystal system = tetragonal

=====

# Li2MgSe2 | Alexandria via LeMat-Bulk | PBE | optimized geometry
data_Li2MgSe2
_cell_length_a 7.2336
_cell_length_b 7.2336
_cell_length_c 3.8066
_cell_angle_alpha 90.00
_cell_angle_beta 90.00
_cell_angle_gamma 90.00
_symmetry_space_group_name_H-M 'P 4/m b m'
_symmetry_Int_Tables_number 127
_symmetry_space_group_name_Hall '-P 4 2ab'
loop_
_atom_site_label
_atom_site_fract_x
_atom_site_fract_y
_atom_site_fract_z
Li1 0.1329 0.3671 0.0000
Mg1 0.0000 0.0000 0.5000
Se1 0.1801 0.6801 0.5000
# Crystal system = tetragonal
# Total DFT energy (no corrections) = -3.440 eV per atom

=====

# LaCo2P | Alexandria via LeMat-Bulk | PBE | optimized geometry
data_LaCo2P
_cell_length_a 3.8055
_cell_length_b 3.8758
_cell_length_c 4.7797
_cell_angle_alpha 90.00
_cell_angle_beta 96.98
_cell_angle_gamma 90.00
_symmetry_space_group_name_H-M 'P 1 m 1'
_symmetry_Int_Tables_number 6
loop_
_symmetry_equiv_pos_as_xyz
'x,y,z'
'x,-y,z'
loop_
_atom_site_label
_atom_site_fract_x
_atom_site_fract_y
_atom_site_fract_z
La1 0.0000 0.0000 0.0000
Co1 0.0691 0.5000 0.5421
Co2 0.5436 0.0000 0.5318
P1 0.5379 0.5000 0.3340
# Crystal system = monoclinic
# Calculated formation energy = -540.0 meV per atom